VASP calculation (GGA-PBE) on an optimized crystal structure of Zn2NiHgGe.

```
Zn2NiHgGe
1.0
4.751 0.000 0.000
0.000 4.751 0.000
0.000 0.000 4.404
Zn Ni Hg Ge
2 1 1 1
Direct
0.000 0.500 0.000
0.500 0.000 0.000
0.000 0.000 0.000
0.500 0.500 0.500
0.000 0.000 0.500
```

Values from the calculation:
- crystal system = tetragonal
- magnetization (μB per atom) = 0.00
- formation enthalpy at 0 K (eV per atom) = 0.072
- E_tot (eV/atom) = -2.58